! Cu6NiPt4 (PBE, relaxed); values from VASP
! Calculated formation energy (kJ/mol of atoms): 9.6
! Magnetic moment (μB per atom): 0.01
&SYSTEM
  ibrav = 0, nat = 11, ntyp = 3
/
ATOMIC_SPECIES
Cu 63.55 Cu.upf
Ni 58.69 Ni.upf
Pt 195.08 Pt.upf
CELL_PARAMETERS angstrom
-2.4730 2.4730 6.3027
2.4730 -2.4730 6.3027
2.4730 2.4730 -6.3027
ATOMIC_POSITIONS angstrom
Cu 2.4730 0.0000 0.0000
Cu 1.5291 1.5291 -1.5912
Cu 0.9439 -0.9439 7.8939
Cu 0.0000 2.4730 0.0000
Cu 0.9439 0.9439 4.7115
Cu -0.9439 0.9439 7.8939
Ni 0.0000 0.0000 0.0000
Pt 1.4844 -1.4844 4.1311
Pt 0.9886 0.9886 2.1717
Pt -1.4844 1.4844 4.1311
Pt 1.4844 1.4844 8.4744

---

! RbBeSb2I (PBE, relaxed); values from VASP
! E above lowest polymorph (meV per atom): 1377.4
! Magnetic moment (μB per atom): 1.18
&SYSTEM
  ibrav = 0, nat = 5, ntyp = 4
/
ATOMIC_SPECIES
Rb 85.47 Rb.upf
Be 9.01 Be.upf
Sb 121.76 Sb.upf
I 126.90 I.upf
CELL_PARAMETERS angstrom
8.0036 0.0000 0.0000
0.0000 8.0036 0.0000
0.0000 0.0000 6.7678
ATOMIC_POSITIONS angstrom
Rb 0.0000 0.0000 0.0000
Be 4.0018 4.0018 3.3839
Sb 0.0000 4.0018 0.0000
Sb 4.0018 0.0000 0.0000
I 0.0000 0.0000 3.3839

---

! RbRh2Se4 (PBE, relaxed); values from VASP
! Magnetic moment (μB per atom): 0.00
! E_tot (eV/atom): -4.622
&SYSTEM
  ibrav = 0, nat = 14, ntyp = 3
/
ATOMIC_SPECIES
Rb 85.47 Rb.upf
Rh 102.91 Rh.upf
Se 78.96 Se.upf
CELL_PARAMETERS angstrom
-4.2955 4.2955 4.7127
4.2955 -4.2955 4.7127
4.2955 4.2955 -4.7127
ATOMIC_POSITIONS angstrom
Rb 4.2955 2.1477 1.1782
Rb 0.0000 2.1477 3.5345
Rh 0.0000 0.0000 0.0000
Rh 2.1477 2.1477 -2.3563
Rh 2.1477 -2.1477 2.3563
Rh 0.0000 4.2955 0.0000
Se 4.2955 -0.6917 2.2981
Se 4.2955 3.6038 -2.2981
Se 1.4560 2.1477 0.0583
Se 2.8395 -2.1477 4.7710
Se 1.4560 6.4432 -0.0583
Se 2.8395 2.1477 4.6544
Se 0.0000 0.6917 7.0108
Se 0.0000 4.9872 2.4146

---

! FeTcSn2 (PBE, relaxed); values from VASP
! Calculated formation energy (kJ/mol of atoms): 24.8
! E above lowest polymorph (meV per atom): 0.0
! Magnetic moment (μB per atom): 0.12
&SYSTEM
  ibrav = 0, nat = 4, ntyp = 3
/
ATOMIC_SPECIES
Fe 55.84 Fe.upf
Tc 98.00 Tc.upf
Sn 118.71 Sn.upf
CELL_PARAMETERS angstrom
0.0000 3.2099 3.2099
3.2099 0.0000 3.2099
3.2099 3.2099 0.0000
ATOMIC_POSITIONS angstrom
Fe 0.0000 0.0000 0.0000
Tc 3.2099 3.2099 3.2099
Sn 1.6050 1.6050 1.6050
Sn 4.8149 4.8149 4.8149